# Tb4Dy2Se9 PBE relaxed
# raw formation energy	-1.862	eV per atom
# electronic total energy	-5.80	eV per atom
data_Tb4Dy2Se9
_chemical_formula_sum 'Tb8 Dy4 Se18'
_space_group_name_H-M_alt 'P -1'
_space_group_IT_number 2
_cell_length_a 7.225
_cell_length_b 7.228
_cell_length_c 19.526
_cell_angle_alpha 90.00
_cell_angle_beta 89.97
_cell_angle_gamma 60.03
loop_
_space_group_symop_operation_xyz
'x,y,z'
'-x,-y,-z'
loop_
_atom_site_label
_atom_site_type_symbol
_atom_site_fract_x
_atom_site_fract_y
_atom_site_fract_z
_atom_site_occupancy
Tb1 Tb 0.166 0.167 0.181 1
Tb2 Tb 0.166 0.167 0.985 1
Tb3 Tb 0.167 0.166 0.485 1
Tb4 Tb 0.168 0.166 0.682 1
Dy1 Dy 0.499 0.501 0.152 1
Dy2 Dy 0.500 0.499 0.348 1
Se1 Se 0.138 0.530 0.417 1
Se2 Se 0.140 0.831 0.917 1
Se3 Se 0.168 0.471 0.083 1
Se4 Se 0.169 0.861 0.583 1
Se5 Se 0.196 0.804 0.250 1
Se6 Se 0.197 0.500 0.750 1
Se7 Se 0.470 0.170 0.583 1
Se8 Se 0.470 0.861 0.083 1
Se9 Se 0.499 0.197 0.250 1